No. 1
# VOF3

Crystalline VOF3 at its relaxed geometry (GGA+U, Alexandria).

Geometry as CIF:
```
data_VOF3
_symmetry_space_group_name_H-M 'P 1 21/c 1'
_symmetry_Int_Tables_number 14
_cell_length_a 4.633
_cell_length_b 4.707
_cell_length_c 13.328
_cell_angle_alpha 90.00
_cell_angle_beta 110.15
_cell_angle_gamma 90.00
loop_
_symmetry_equiv_pos_as_xyz
'x,y,z'
'-x,-y,-z'
'-x,y+1/2,-z+1/2'
'x,-y+1/2,z+1/2'
loop_
_atom_site_label
_atom_site_fract_x
_atom_site_fract_y
_atom_site_fract_z
V1 0.160 0.210 0.184
O1 0.077 0.037 0.801
F1 0.095 0.553 0.906
F2 0.293 0.071 0.086
F3 0.488 0.569 0.207
```

Computed properties:
For the final energy, the calculation gives -5.879 eV/atom. The calculation puts the density of states at the Fermi level at 0.000 states/eV/cell.

***

No. 2
# V3O4F2

Crystalline V3O4F2 at its relaxed geometry (GGA+U, Alexandria).

Geometry as CIF:
```
data_V3O4F2
_symmetry_space_group_name_H-M 'C m m m'
_symmetry_Int_Tables_number 65
_symmetry_space_group_name_Hall '-C 2 2'
_cell_length_a 6.587
_cell_length_b 19.764
_cell_length_c 3.071
_cell_angle_alpha 90.00
_cell_angle_beta 90.00
_cell_angle_gamma 90.00
loop_
_atom_site_label
_atom_site_fract_x
_atom_site_fract_y
_atom_site_fract_z
V1 0.000 0.000 0.000
V2 0.000 0.159 0.500
V3 0.000 0.339 0.000
V4 0.000 0.500 0.500
O1 0.000 0.065 0.500
O2 0.000 0.402 0.500
O3 0.191 0.167 0.000
F1 0.000 0.266 0.500
F2 0.197 0.500 0.000
```

Computed properties:
For the final energy, the calculation gives -7.345 eV/atom. As for the energy above the most stable polymorph in this dataset: 38.0 kJ/mol of formula units. The calculation puts the density of states at the Fermi level at 0.756 states/eV/cell.

***

No. 3
# V2O3F

Crystalline V2O3F at its relaxed geometry (GGA+U, Alexandria).

Geometry as CIF:
```
data_V2O3F
_symmetry_space_group_name_H-M 'P 1 c 1'
_symmetry_Int_Tables_number 7
_cell_length_a 3.039
_cell_length_b 9.209
_cell_length_c 5.419
_cell_angle_alpha 90.00
_cell_angle_beta 100.33
_cell_angle_gamma 90.00
loop_
_symmetry_equiv_pos_as_xyz
'x,y,z'
'x,-y,z+1/2'
loop_
_atom_site_label
_atom_site_fract_x
_atom_site_fract_y
_atom_site_fract_z
V1 0.000 0.095 0.000
V2 0.407 0.261 0.481
O1 0.428 0.136 0.777
O2 0.853 0.106 0.347
O3 0.885 0.363 0.558
F1 0.194 0.302 0.126
```

Computed properties:
For the final energy, the calculation gives -7.297 eV/atom. As for the energy above the most stable polymorph in this dataset: 117.2 kJ/mol of formula units.